Th4IrOs2 after structural relaxation. Source: Alexandria, functional PBE.

Computed properties:
DFT formation energy   -0.450 eV/atom
Size of the total moment   0.000 μB/f.u.
D(E_F)   6.1 states/eV/f.u.
Final energy   -9.165 eV per atom

Cell and atoms, written as extended XYZ:
```
7
Lattice="1.082 -3.803 -1.762 3.907 -1.635 5.927 -7.479 0.135 0.436" Properties=species:S:1:pos:R:3 pbc="T T T"
Th -0.032 -1.259 2.697
Th -2.458 -4.045 1.903
Th -5.011 -1.406 -0.042
Th 2.521 -3.898 4.643
Ir 0.000 0.000 0.000
Os -2.433 -1.258 1.221
Os -0.057 -4.046 3.380
```

---

Pu5Sb3Pd after structural relaxation. Source: Alexandria, functional PBE.

Computed properties:
Size of the total moment   29.096 μB/f.u.
D(E_F)   43.2 states/eV/f.u.
Formation energy (no corrections)   -0.576 eV per atom
Final energy   -10.489 eV per atom

Cell and atoms, written as extended XYZ:
```
18
Lattice="6.218 0.000 0.000 0.000 8.129 -4.693 0.000 0.000 9.386" Properties=species:S:1:pos:R:3 pbc="T T T"
Pu 0.000 2.710 4.693
Pu 3.109 5.419 0.000
Pu 0.000 5.419 0.000
Pu 3.109 2.710 4.693
Pu 4.664 5.961 -3.442
Pu 4.664 2.168 1.252
Pu 4.664 0.000 6.883
Pu 1.555 2.168 -1.252
Pu 1.555 5.961 3.441
Pu 1.555 0.000 2.503
Sb 4.664 3.123 -1.803
Sb 4.664 5.006 2.890
Sb 4.664 0.000 3.606
Sb 1.555 5.006 -2.890
Sb 1.555 3.123 1.803
Sb 1.555 0.000 5.780
Pd 0.000 0.000 0.000
Pd 3.109 0.000 0.000
```

---

TbTm2NpN4 after structural relaxation. Source: Alexandria, functional PBE.

Computed properties:
Size of the total moment   3.130 μB/f.u.
D(E_F)   6.2 states/eV/f.u.
Formation energy (no corrections)   -1.590 eV per atom
Final energy   -9.067 eV per atom

Cell and atoms, written as extended XYZ:
```
8
Lattice="3.433 0.000 0.000 0.000 5.935 0.129 0.000 -2.053 5.568" Properties=species:S:1:pos:R:3 pbc="T T T"
Tb 1.716 2.968 0.064
Tm 1.716 -1.026 2.784
Tm 0.000 1.941 2.848
Np 0.000 0.000 0.000
N 1.716 0.941 1.428
N 1.716 2.942 4.269
N 0.000 -0.135 4.221
N 0.000 4.018 1.475
```

---

CaLa3Rh after structural relaxation. Source: Alexandria, functional PBE.

Computed properties:
Energy above the most stable polymorph in this dataset   7.0 meV per atom
DFT formation energy   -0.278 eV/atom
Size of the total moment   0.000 μB/f.u.
D(E_F)   6.1 states/eV/f.u.
Final energy   -5.105 eV per atom

Cell and atoms, written as extended XYZ:
```
20
Lattice="6.794 0.000 0.000 0.000 8.951 0.741 0.000 -2.116 11.239" Properties=species:S:1:pos:R:3 pbc="T T T"
Ca 6.207 5.096 2.644
Ca 0.587 1.739 9.335
Ca 2.810 2.797 3.716
Ca 3.984 4.039 8.263
La 0.807 8.067 4.730
La 5.988 -1.232 7.249
La 4.204 -0.174 1.630
La 2.590 7.009 10.349
La 3.880 6.304 5.220
La 2.915 0.531 6.760
La 0.483 1.589 1.140
La 6.312 5.247 10.839
La 0.815 4.672 6.779
La 5.979 2.164 5.200
La 4.212 1.106 10.819
La 2.582 5.730 1.160
Rh 2.212 6.784 7.510
Rh 4.582 0.052 4.469
Rh 5.609 -1.006 10.088
Rh 1.185 7.842 1.891
```

---

TlCuAs after structural relaxation. Source: Alexandria, functional PBE.

Computed properties:
Energy above the most stable polymorph in this dataset   16.7 meV per atom
DFT formation energy   0.017 eV/atom
Size of the total moment   0.000 μB/f.u.
D(E_F)   1.2 states/eV/f.u.
Final energy   -3.687 eV per atom

Cell and atoms, written as extended XYZ:
```
6
Lattice="3.956 0.004 0.000 1.967 10.824 -0.044 -1.980 -0.350 3.409" Properties=species:S:1:pos:R:3 pbc="T T T"
Tl 1.739 2.368 1.160
Tl -0.253 5.417 2.624
As 1.737 0.020 3.217
As 3.704 7.768 0.564
Cu 3.708 10.173 0.809
Cu 3.700 8.439 2.928
```

---

USbPt after structural relaxation. Source: Alexandria, functional PBE.

Computed properties:
Size of the total moment   2.141 μB/f.u.
D(E_F)   5.0 states/eV/f.u.
Formation energy (no corrections)   -0.383 eV per atom
Final energy   -7.533 eV per atom

Cell and atoms, written as extended XYZ:
```
3
Lattice="3.568 0.000 0.000 0.000 3.568 0.000 -1.784 -1.784 5.308" Properties=species:S:1:pos:R:3 pbc="T T T"
Sb 0.000 0.000 3.096
U 1.784 1.784 1.022
Pt 1.784 1.784 4.905
```

---

CrInPd6 after structural relaxation. Source: Alexandria, functional PBE.

Computed properties:
Energy above the most stable polymorph in this dataset   0.0 meV per atom
DFT formation energy   -0.256 eV/atom
Size of the total moment   2.512 μB/f.u.
D(E_F)   9.6 states/eV/f.u.
Final energy   -5.696 eV per atom

Cell and atoms, written as extended XYZ:
```
8
Lattice="-2.944 2.544 -0.769 -1.027 -0.030 3.831 4.921 6.108 1.368" Properties=species:S:1:pos:R:3 pbc="T T T"
Cr 2.461 3.054 0.684
In 0.000 0.000 0.000
Pd -1.986 1.257 1.531
Pd 0.475 4.311 2.215
Pd -0.191 2.862 -0.029
Pd 2.168 5.790 0.627
Pd 0.767 1.575 2.272
Pd 3.127 4.503 2.927
```

---

MnBiP2 after structural relaxation. Source: Alexandria, functional PBE.

Computed properties:
Energy above the most stable polymorph in this dataset   0.0 meV per atom
DFT formation energy   0.151 eV/atom
Size of the total moment   0.000 μB/f.u.
D(E_F)   2.4 states/eV/f.u.
Final energy   -5.816 eV per atom

Cell and atoms, written as extended XYZ:
```
8
Lattice="5.779 0.000 0.000 0.000 5.779 0.000 2.890 2.890 5.353" Properties=species:S:1:pos:R:3 pbc="T T T"
P 3.794 1.445 1.338
P 1.985 4.334 1.338
P 4.334 4.875 4.014
P 7.224 6.683 4.014
Mn 2.890 2.890 0.000
Mn 2.890 5.779 2.676
Bi 0.000 0.000 0.000
Bi 5.779 2.890 2.676
```

---

SnSb after structural relaxation. Source: Alexandria, functional PBE.

Computed properties:
Size of the total moment   0.000 μB/f.u.
D(E_F)   2.0 states/eV/f.u.
Formation energy (no corrections)   0.233 eV per atom
Final energy   -3.829 eV per atom

Cell and atoms, written as extended XYZ:
```
12
Lattice="-3.760 -6.952 2.884 2.126 -4.074 -7.048 7.220 -2.421 3.578" Properties=species:S:1:pos:R:3 pbc="T T T"
Sn 2.670 -2.948 2.510
Sn 0.790 -6.424 3.952
Sn 2.868 -2.642 -2.629
Sn 6.478 -3.853 -0.840
Sn -1.349 -4.495 -0.320
Sn -0.285 -6.532 -3.843
Sb 0.123 -3.775 -2.803
Sb -1.757 -7.251 -1.361
Sb -0.075 -4.081 2.337
Sb 3.535 -5.292 4.126
Sb 4.142 -2.229 0.027
Sb 5.205 -4.266 -3.497
```

---

V3ReRh after structural relaxation. Source: Alexandria, functional PBE.

Computed properties:
Energy above the most stable polymorph in this dataset   0.0 meV per atom
DFT formation energy   1.262 eV/atom
Size of the total moment   0.001 μB/f.u.
D(E_F)   9.9 states/eV/f.u.
Final energy   -8.169 eV per atom

Cell and atoms, written as extended XYZ:
```
5
Lattice="4.517 0.000 0.000 0.000 4.517 0.000 0.000 0.000 4.517" Properties=species:S:1:pos:R:3 pbc="T T T"
Re 0.000 0.000 0.000
Rh 2.259 2.259 2.259
V 0.000 2.259 0.000
V 0.000 0.000 2.259
V 2.259 0.000 0.000
```

---

Dy3Er3Sc after structural relaxation. Source: Alexandria, functional PBE.

Computed properties:
Energy above the most stable polymorph in this dataset   0.0 meV per atom
DFT formation energy   0.016 eV/atom
Size of the total moment   0.046 μB/f.u.
D(E_F)   14.8 states/eV/f.u.
Final energy   -4.817 eV per atom

Cell and atoms, written as extended XYZ:
```
14
Lattice="-0.184 4.908 -2.569 -8.774 -1.830 -2.868 1.455 4.354 8.215" Properties=species:S:1:pos:R:3 pbc="T T T"
Dy -3.725 2.967 2.945
Dy -0.201 3.131 3.007
Dy -2.076 4.462 5.684
Dy -3.779 4.465 -0.167
Dy -7.303 4.301 -0.229
Dy -5.428 2.970 -2.906
Er -5.623 5.820 2.553
Er -0.237 4.634 -0.098
Er -0.419 7.467 5.326
Er -1.880 1.612 0.225
Er -7.266 2.798 2.876
Er -7.085 -0.034 -2.549
Sc -2.093 5.974 2.594
Sc -5.410 1.459 0.184
```

---

SiIrRuPt2 after structural relaxation. Source: Alexandria, functional PBE.

Computed properties:
Size of the total moment   0.000 μB/f.u.
D(E_F)   6.9 states/eV/f.u.
Formation energy (no corrections)   1.455 eV per atom
Final energy   -5.673 eV per atom

Cell and atoms, written as extended XYZ:
```
5
Lattice="-2.598 3.229 -2.352 -0.668 -2.866 -3.197 -3.927 -1.550 2.210" Properties=species:S:1:pos:R:3 pbc="T T T"
Ru 0.000 0.000 0.000
Si -0.334 -1.433 -1.598
Ir -3.597 -0.594 -1.670
Pt -1.964 -0.775 1.105
Pt -1.299 1.614 -1.176
```

---

CePrMgTl after structural relaxation. Source: Alexandria, functional PBE.

Computed properties:
DFT formation energy   -0.152 eV/atom
Size of the total moment   1.323 μB/f.u.
D(E_F)   11.3 states/eV/f.u.
Final energy   -3.821 eV per atom

Cell and atoms, written as extended XYZ:
```
4
Lattice="-1.607 -3.419 4.018 3.556 -1.481 3.947 -0.640 1.893 5.140" Properties=species:S:1:pos:R:3 pbc="T T T"
Pr 0.982 -2.255 9.829
Tl 0.000 0.000 0.000
Mg 0.655 -1.503 6.552
Ce 0.327 -0.752 3.276
```

---

BaHg2Pb after structural relaxation. Source: Alexandria, functional PBE.

Computed properties:
Energy above the most stable polymorph in this dataset   116.0 meV per atom
DFT formation energy   -0.313 eV/atom
Size of the total moment   0.000 μB/f.u.
D(E_F)   2.5 states/eV/f.u.
Final energy   -1.872 eV per atom

Cell and atoms, written as extended XYZ:
```
4
Lattice="4.906 0.000 0.000 0.000 4.288 0.001 0.000 1.651 6.365" Properties=species:S:1:pos:R:3 pbc="T T T"
Pb 0.000 2.822 2.616
Hg 0.000 0.673 0.021
Hg 2.453 0.897 1.768
Ba 2.453 4.516 5.145
```

---

CdIr2O6 after structural relaxation. Source: Alexandria, functional PBE.

Computed properties:
Size of the total moment   1.340 μB/f.u.
D(E_F)   7.4 states/eV/f.u.
Formation energy (no corrections)   -0.739 eV per atom
Final energy   -6.115 eV per atom

Cell and atoms, written as extended XYZ:
```
9
Lattice="-4.015 0.295 -2.507 -0.529 -5.264 0.227 -2.134 3.040 3.774" Properties=species:S:1:pos:R:3 pbc="T T T"
Cd 0.000 0.000 0.000
Ir -3.071 -2.348 0.156
Ir -3.606 0.420 1.338
O -4.572 -1.187 0.711
O -3.585 -0.192 3.218
O -2.991 -3.268 1.905
O -3.092 -1.737 -1.725
O -2.105 -0.741 0.783
O -3.686 1.339 -0.411
```

---

BaYS2 after structural relaxation. Source: Alexandria, functional PBE.

Computed properties:
Energy above the most stable polymorph in this dataset   0.0 meV per atom
Size of the total moment   0.000 μB/f.u.
D(E_F)   1.8 states/eV/f.u.
Formation energy (no corrections)   -2.014 eV per atom
Final energy   -6.175 eV per atom

Cell and atoms, written as extended XYZ:
```
4
Lattice="4.120 0.014 0.011 2.050 3.574 0.011 2.026 1.178 7.153" Properties=species:S:1:pos:R:3 pbc="T T T"
Ba 4.098 2.383 3.587
Y 0.000 0.000 0.000
S 6.146 3.574 5.670
S 2.050 1.192 1.505
```

---

CoI2Br after structural relaxation. Source: Alexandria, functional PBE.

Computed properties:
Energy above the most stable polymorph in this dataset   0.0 meV per atom
Size of the total moment   0.000 μB/f.u.
D(E_F)   0.2 states/eV/f.u.
Formation energy (no corrections)   -0.096 eV per atom
Final energy   -3.066 eV per atom

Cell and atoms, written as extended XYZ:
```
16
Lattice="-5.336 -2.526 2.102 3.404 -5.194 2.398 1.271 5.218 9.498" Properties=species:S:1:pos:R:3 pbc="T T T"
Co 1.601 1.784 6.211
Co -2.263 -4.286 7.788
Co -0.662 2.183 10.287
Co 0.000 -4.685 3.711
I 0.481 -1.816 12.504
I -1.142 -0.685 1.494
I 1.507 -0.525 7.319
I -2.169 -1.976 6.679
I -2.296 -3.634 3.270
I 1.634 1.132 10.729
I -0.390 1.268 4.657
I -0.272 -3.770 9.341
Br 1.026 -2.441 4.337
Br -1.687 -0.061 9.661
Br -0.619 -5.265 6.110
Br -0.043 2.763 7.888
```

---

Pr6NdHo12 after structural relaxation. Source: Alexandria, functional PBE.

Computed properties:
Energy above the most stable polymorph in this dataset   0.0 meV per atom
DFT formation energy   0.118 eV/atom
Size of the total moment   0.000 μB/f.u.
D(E_F)   30.3 states/eV/f.u.
Final energy   -4.533 eV per atom

Cell and atoms, written as extended XYZ:
```
19
Lattice="8.462 1.305 1.564 0.007 8.562 1.564 0.007 0.008 8.704" Properties=species:S:1:pos:R:3 pbc="T T T"
Pr 6.508 7.582 3.837
Pr 7.071 3.076 3.685
Pr 1.969 7.455 3.685
Pr 1.968 2.293 7.994
Pr 1.406 6.800 8.146
Pr 6.508 2.421 8.146
Nd 0.000 0.000 0.000
Ho 6.807 5.210 6.242
Ho 4.119 7.518 6.242
Ho 4.118 4.798 8.512
Ho 1.670 4.666 5.589
Ho 4.358 2.357 5.589
Ho 4.359 5.077 3.318
Ho 1.172 1.366 4.627
Ho 7.304 5.567 9.661
Ho 4.395 8.064 9.660
Ho 7.305 8.510 7.204
Ho 1.172 4.309 2.170
Ho 4.081 1.811 2.171
```

---

YInAu2 after structural relaxation. Source: Alexandria, functional PBE.

Computed properties:
DFT formation energy   -0.524 eV/atom
Size of the total moment   0.000 μB/f.u.
D(E_F)   1.5 states/eV/f.u.
Final energy   -4.463 eV per atom

Cell and atoms, written as extended XYZ:
```
4
Lattice="5.165 -0.367 0.000 1.410 4.983 0.000 -3.288 -2.308 3.268" Properties=species:S:1:pos:R:3 pbc="T T T"
Au 0.000 0.000 0.000
Au 0.705 2.491 1.634
In 3.288 2.308 0.000
Y 2.583 -0.183 1.634
```

---

Li3IN after structural relaxation. Source: Alexandria, functional PBE.

Computed properties:
Energy above the most stable polymorph in this dataset   1026.2 meV per atom
Size of the total moment   1.000 μB/f.u.
D(E_F)   2.3 states/eV/f.u.
Formation energy (no corrections)   0.587 eV per atom
Final energy   -2.536 eV per atom

Cell and atoms, written as extended XYZ:
```
5
Lattice="5.027 0.000 0.000 0.000 5.027 0.000 0.000 0.000 5.027" Properties=species:S:1:pos:R:3 pbc="T T T"
I 0.000 0.000 0.000
Li 0.000 2.514 0.000
Li 0.000 0.000 2.514
Li 2.514 0.000 0.000
N 2.514 2.514 2.514
```